Record 1
{
  "formula": "LiPuTlHg",
  "functional": "PBE",
  "state": "optimized geometry",
  "cell": [[5.176, 0.000, 0.000], [2.588, 4.483, 0.000], [2.588, 1.494, 4.226]],
  "species": ["Li", "Hg", "Tl", "Pu"],
  "fractional_positions": [[0.000, 0.000, 0.000], [0.750, 0.750, 0.750], [0.250, 0.250, 0.250], [0.500, 0.500, 0.500]],
  "n_ef_per_ev_cell": 12.8,
  "de_polymorph_mev_per_atom": 66.2,
  "formation_enthalpy_0k_ev_per_atom": -0.1148,
  "e_tot_ev_per_atom": -4.843
}

=====

Record 2
{
  "formula": "LaSb2CI",
  "functional": "PBE",
  "state": "optimized geometry",
  "cell": [[4.787, 0.000, 0.000], [0.000, 4.787, 0.000], [0.000, 0.000, 5.564]],
  "species": ["I", "Sb", "Sb", "C", "La"],
  "fractional_positions": [[0.000, 0.000, 0.500], [0.000, 0.500, 0.000], [0.500, 0.000, 0.000], [0.000, 0.000, 0.000], [0.500, 0.500, 0.500]],
  "n_ef_per_ev_cell": 2.8,
  "de_polymorph_mev_per_atom": 0.0,
  "raw_formation_energy_ev_per_atom": 0.355,
  "e_tot_ev_per_atom": -4.434
}

=====

Record 3
{
  "formula": "LaZnCdW2",
  "functional": "PBE",
  "state": "optimized geometry",
  "cell": [[4.829, 0.000, 0.000], [0.000, 4.819, 0.000], [0.000, 0.000, 4.829]],
  "species": ["Zn", "La", "W", "W", "Cd"],
  "fractional_positions": [[0.000, 0.000, 0.000], [0.500, 0.500, 0.500], [0.000, 0.000, 0.500], [0.500, 0.000, 0.000], [0.000, 0.500, 0.000]],
  "n_ef_per_ev_cell": 7.9,
  "formation_enthalpy_0k_ev_per_atom": 1.2247,
  "e_tot_ev_per_atom": -5.380
}

=====

Record 4
{
  "formula": "CoHRh3",
  "functional": "PBE",
  "state": "optimized geometry",
  "cell": [[-2.513, 0.963, 2.760], [-1.861, -3.334, -0.531], [2.254, -1.678, 2.639]],
  "species": ["Rh", "Rh", "Rh", "Co", "H"],
  "fractional_positions": [[0.000, 0.500, 0.000], [0.500, 0.000, 0.000], [0.000, 0.000, 0.500], [0.500, 0.500, 0.500], [0.000, 0.000, 0.000]],
  "n_ef_per_ev_cell": 4.8,
  "de_polymorph_mev_per_atom": 0.0,
  "e_tot_ev_per_atom": -6.446
}

=====

Record 5
{
  "formula": "ZrBiHPd2",
  "functional": "PBE",
  "state": "optimized geometry",
  "cell": [[-2.758, -1.279, 2.888], [-1.767, -2.553, -2.818], [2.840, -3.332, 1.237]],
  "species": ["H", "Bi", "Pd", "Pd", "Zr"],
  "fractional_positions": [[0.000, 0.000, 0.000], [0.500, 0.500, 0.500], [0.500, 0.000, 0.000], [0.000, 0.500, 0.000], [0.000, 0.000, 0.500]],
  "n_ef_per_ev_cell": 0.9,
  "e_tot_ev_per_atom": -5.613
}

=====

Record 6
{
  "formula": "NdDyTeI",
  "functional": "PBE",
  "state": "optimized geometry",
  "cell": [[-5.243, 0.687, 1.170], [-2.715, -3.870, 2.643], [-1.548, 0.798, 5.128]],
  "species": ["Te", "Dy", "I", "Nd"],
  "fractional_positions": [[0.250, 0.250, 0.250], [0.000, 0.000, 0.000], [0.750, 0.750, 0.750], [0.500, 0.500, 0.500]],
  "n_ef_per_ev_cell": 3.5,
  "raw_formation_energy_ev_per_atom": -1.017,
  "e_tot_ev_per_atom": -4.532
}

=====

Record 7
{
  "formula": "LiCa",
  "functional": "PBE",
  "state": "optimized geometry",
  "cell": [[3.665, 0.000, 0.000], [-1.832, 3.174, 0.000], [0.000, 0.000, 12.011]],
  "species": ["Ca", "Ca", "Li", "Li"],
  "fractional_positions": [[0.667, 0.333, 0.176], [0.333, 0.667, 0.676], [0.667, 0.333, 0.906], [0.333, 0.667, 0.406]],
  "n_ef_per_ev_cell": 3.8,
  "de_polymorph_mev_per_atom": 197.5,
  "formation_enthalpy_0k_ev_per_atom": 0.2092,
  "e_tot_ev_per_atom": -1.748
}

=====

Record 8
{
  "formula": "Hf4OsPt",
  "functional": "PBE",
  "state": "optimized geometry",
  "cell": [[6.411, 0.000, 0.047], [0.000, 6.412, 0.000], [-0.046, 0.000, 6.441]],
  "species": ["Hf", "Hf", "Hf", "Hf", "Hf", "Hf", "Hf", "Hf", "Os", "Os", "Pt", "Pt"],
  "fractional_positions": [[0.750, 0.250, 0.244], [0.250, 0.250, 0.756], [0.750, 0.250, 0.756], [0.750, 0.750, 0.756], [0.250, 0.250, 0.244], [0.750, 0.750, 0.244], [0.250, 0.750, 0.244], [0.250, 0.750, 0.756], [0.000, 0.000, 0.000], [0.500, 0.500, 0.000], [0.500, 0.000, 0.500], [0.000, 0.500, 0.500]],
  "n_ef_per_ev_cell": 8.9,
  "formation_enthalpy_0k_ev_per_atom": -0.4704,
  "e_tot_ev_per_atom": -9.984
}

=====

Record 9
{
  "formula": "KNbNF2",
  "functional": "PBE",
  "state": "optimized geometry",
  "cell": [[-0.805, -2.660, 3.377], [3.650, -2.238, -0.893], [2.090, 2.442, 2.422]],
  "species": ["K", "F", "F", "N", "Nb"],
  "fractional_positions": [[0.500, 0.500, 0.500], [0.000, 0.500, 0.000], [0.500, 0.000, 0.000], [0.000, 0.000, 0.500], [0.000, 0.000, 0.000]],
  "n_ef_per_ev_cell": 0.9,
  "de_polymorph_mev_per_atom": 0.0,
  "raw_formation_energy_ev_per_atom": -1.788,
  "e_tot_ev_per_atom": -6.435
}

=====

Record 10
{
  "formula": "PBrO2",
  "functional": "PBE",
  "state": "optimized geometry",
  "cell": [[-1.116, -3.952, -0.233], [-3.971, -0.996, -0.401], [-1.386, -1.540, -3.554]],
  "species": ["O", "O", "Br", "P"],
  "fractional_positions": [[0.250, 0.250, 0.250], [0.750, 0.750, 0.750], [0.500, 0.500, 0.500], [0.000, 0.000, 0.000]],
  "n_ef_per_ev_cell": 3.7,
  "de_polymorph_mev_per_atom": 2455.0,
  "raw_formation_energy_ev_per_atom": 1.066,
  "e_tot_ev_per_atom": -3.184
}

=====

Record 11
{
  "formula": "NaTiAl",
  "functional": "PBE",
  "state": "optimized geometry",
  "cell": [[9.677, 0.000, 0.005], [0.000, 4.630, 0.000], [0.030, 0.000, 2.945]],
  "species": ["Ti", "Ti", "Al", "Al", "Na", "Na"],
  "fractional_positions": [[0.797, 0.500, 0.629], [0.565, 0.500, 0.138], [0.629, 0.000, 0.637], [0.876, 0.000, 0.129], [0.332, 0.000, 0.160], [0.107, 0.500, 0.665]],
  "n_ef_per_ev_cell": 3.8,
  "de_polymorph_mev_per_atom": 88.7,
  "formation_enthalpy_0k_ev_per_atom": 0.0489,
  "e_tot_ev_per_atom": -4.270
}

=====

Record 12
{
  "formula": "ZnAs2Se",
  "functional": "PBE",
  "state": "optimized geometry",
  "cell": [[-1.689, 2.056, 2.688], [-2.298, 0.098, -1.519], [-3.955, -6.392, 2.404]],
  "species": ["As", "As", "Se", "Zn"],
  "fractional_positions": [[0.000, 0.411, 0.979], [0.000, 0.089, 0.521], [0.500, 0.250, 0.250], [0.500, 0.750, 0.750]],
  "n_ef_per_ev_cell": 1.2,
  "de_polymorph_mev_per_atom": 278.0,
  "raw_formation_energy_ev_per_atom": 0.114,
  "e_tot_ev_per_atom": -3.401
}

=====

Record 13
{
  "formula": "ReAuSe",
  "functional": "PBE",
  "state": "optimized geometry",
  "cell": [[4.665, 0.000, 0.000], [-2.332, 4.040, 0.000], [0.000, 0.000, 2.707]],
  "species": ["Au", "Re", "Se"],
  "fractional_positions": [[0.000, 0.000, 0.999], [0.333, 0.667, 0.500], [0.667, 0.333, 0.501]],
  "n_ef_per_ev_cell": 2.5,
  "de_polymorph_mev_per_atom": 487.7,
  "raw_formation_energy_ev_per_atom": 0.740,
  "e_tot_ev_per_atom": -5.664
}

=====

Record 14
{
  "formula": "AsF3",
  "functional": "PBE",
  "state": "optimized geometry",
  "cell": [[0.000, 2.716, 2.716], [2.716, 0.000, 2.716], [2.716, 2.716, 0.000]],
  "species": ["F", "F", "F", "As"],
  "fractional_positions": [[0.000, 0.000, 0.000], [0.750, 0.750, 0.750], [0.250, 0.250, 0.250], [0.500, 0.500, 0.500]],
  "n_ef_per_ev_cell": 0.0,
  "raw_formation_energy_ev_per_atom": -1.278,
  "e_tot_ev_per_atom": -3.844
}

=====

Record 15
{
  "formula": "NdSm6Er",
  "functional": "PBE",
  "state": "optimized geometry",
  "cell": [[5.117, 0.000, 0.000], [0.000, 5.117, 0.000], [0.000, 0.000, 10.226]],
  "species": ["Sm", "Sm", "Sm", "Sm", "Sm", "Sm", "Nd", "Er"],
  "fractional_positions": [[0.000, 0.500, 0.253], [0.500, 0.000, 0.747], [0.500, 0.500, 0.000], [0.500, 0.000, 0.253], [0.000, 0.500, 0.747], [0.500, 0.500, 0.500], [0.000, 0.000, 0.000], [0.000, 0.000, 0.500]],
  "n_ef_per_ev_cell": 13.5,
  "de_polymorph_mev_per_atom": 0.0,
  "formation_enthalpy_0k_ev_per_atom": 0.0194,
  "e_tot_ev_per_atom": -4.686
}

=====

Record 16
{
  "formula": "Ba2ZrNb2",
  "functional": "PBE",
  "state": "optimized geometry",
  "cell": [[-4.730, 7.148, 4.068], [2.689, -3.091, 8.557], [2.507, 1.748, -0.156]],
  "species": ["Ba", "Ba", "Ba", "Ba", "Nb", "Nb", "Nb", "Nb", "Zr", "Zr"],
  "fractional_positions": [[0.360, 0.860, 0.000], [0.860, 0.640, 0.000], [0.140, 0.360, 0.000], [0.640, 0.140, 0.000], [0.333, 0.167, 0.500], [0.667, 0.833, 0.500], [0.167, 0.667, 0.500], [0.833, 0.333, 0.500], [0.000, 0.000, 0.000], [0.500, 0.500, 0.000]],
  "n_ef_per_ev_cell": 9.1,
  "de_polymorph_mev_per_atom": 489.4,
  "formation_enthalpy_0k_ev_per_atom": 1.3893,
  "e_tot_ev_per_atom": -5.117
}

=====

Record 17
{
  "formula": "AlRe3C",
  "functional": "PBE",
  "state": "optimized geometry",
  "cell": [[-3.266, 1.749, -1.723], [-2.431, -1.903, 2.676], [0.343, 3.164, 2.562]],
  "species": ["Re", "Re", "Re", "Al", "C"],
  "fractional_positions": [[0.500, 0.000, 0.000], [0.000, 0.500, 0.000], [0.000, 0.000, 0.500], [0.500, 0.500, 0.500], [0.000, 0.000, 0.000]],
  "n_ef_per_ev_cell": 4.0,
  "de_polymorph_mev_per_atom": 0.0,
  "formation_enthalpy_0k_ev_per_atom": 0.2374,
  "e_tot_ev_per_atom": -9.825
}

=====

Record 18
{
  "formula": "CaAg2Cl",
  "functional": "PBE",
  "state": "optimized geometry",
  "cell": [[-1.516, -0.751, -5.108], [-2.990, -1.940, 4.031], [-2.203, 3.641, 0.118]],
  "species": ["Ag", "Ag", "Ca", "Cl"],
  "fractional_positions": [[0.500, 0.500, 0.000], [0.000, 0.000, 0.000], [0.500, 0.000, 0.500], [0.000, 0.500, 0.500]],
  "n_ef_per_ev_cell": 1.0,
  "de_polymorph_mev_per_atom": 202.8,
  "raw_formation_energy_ev_per_atom": -0.492,
  "e_tot_ev_per_atom": -2.880
}

=====

Record 19
{
  "formula": "Ba2Cd4SnAu3",
  "functional": "PBE",
  "state": "optimized geometry",
  "cell": [[4.681, 0.000, 0.000], [0.000, 4.681, 0.000], [0.000, 0.000, 12.489]],
  "species": ["Au", "Au", "Au", "Ba", "Ba", "Cd", "Cd", "Cd", "Cd", "Sn"],
  "fractional_positions": [[0.500, 0.000, 0.863], [0.000, 0.500, 0.137], [0.000, 0.000, 0.500], [0.000, 0.500, 0.754], [0.500, 0.000, 0.246], [0.000, 0.500, 0.361], [0.500, 0.500, 0.000], [0.500, 0.000, 0.639], [0.000, 0.000, 0.000], [0.500, 0.500, 0.500]],
  "n_ef_per_ev_cell": 5.5,
  "formation_enthalpy_0k_ev_per_atom": -0.4472,
  "e_tot_ev_per_atom": -2.581
}

=====

Record 20
{
  "formula": "Np2TaB6",
  "functional": "PBE",
  "state": "optimized geometry",
  "cell": [[3.040, 0.000, 0.929], [1.381, 4.214, 0.920], [-0.601, -1.705, 7.406]],
  "species": ["B", "B", "B", "B", "B", "B", "Np", "Np", "Ta"],
  "fractional_positions": [[0.949, 0.382, 0.719], [0.810, 0.929, 0.451], [0.190, 0.071, 0.549], [0.803, 0.440, 0.954], [0.051, 0.618, 0.281], [0.197, 0.560, 0.046], [0.600, 0.975, 0.825], [0.400, 0.025, 0.175], [0.500, 0.500, 0.500]],
  "n_ef_per_ev_cell": 7.4,
  "formation_enthalpy_0k_ev_per_atom": -0.3249,
  "e_tot_ev_per_atom": -8.969
}

=====

Record 21
{
  "formula": "CsY2In",
  "functional": "PBE",
  "state": "optimized geometry",
  "cell": [[-0.733, -1.846, 6.273], [-6.162, -1.917, -1.284], [-0.011, -11.336, 0.114]],
  "species": ["Y", "Y", "Y", "Y", "In", "In", "Cs", "Cs"],
  "fractional_positions": [[0.375, 0.624, 0.750], [0.875, 0.626, 0.750], [0.376, 0.125, 0.250], [0.374, 0.625, 0.250], [0.500, 0.500, 0.000], [0.250, 0.750, 0.500], [0.750, 0.250, 0.500], [0.000, 0.000, 0.000]],
  "n_ef_per_ev_cell": 6.1,
  "formation_enthalpy_0k_ev_per_atom": 0.6276,
  "e_tot_ev_per_atom": -3.502
}

=====

Record 22
{
  "formula": "AcNi2H8",
  "functional": "PBE",
  "state": "optimized geometry",
  "cell": [[-1.059, 1.338, 4.681], [3.025, -2.861, 1.502], [1.379, 4.116, -0.864]],
  "species": ["H", "H", "H", "H", "H", "H", "H", "H", "Ni", "Ni", "Ac"],
  "fractional_positions": [[0.999, 0.979, 0.699], [0.001, 0.301, 0.021], [0.500, 0.670, 0.330], [0.001, 0.021, 0.301], [0.788, 0.500, 0.500], [0.212, 0.500, 0.500], [0.500, 0.330, 0.670], [0.999, 0.699, 0.979], [0.000, 0.669, 0.331], [0.000, 0.331, 0.669], [0.500, 0.000, 0.000]],
  "n_ef_per_ev_cell": 1.0,
  "de_polymorph_mev_per_atom": 0.0,
  "e_tot_ev_per_atom": -4.003
}

=====

Record 23
{
  "formula": "SmTmZn2Ga2",
  "functional": "PBE",
  "state": "optimized geometry",
  "cell": [[-4.079, 1.299, -1.113], [0.603, -3.859, 2.077], [-0.684, 3.338, 6.399]],
  "species": ["Sm", "Ga", "Ga", "Zn", "Zn", "Tm"],
  "fractional_positions": [[0.000, 0.000, 0.000], [0.333, 0.667, 0.264], [0.667, 0.333, 0.736], [0.333, 0.667, 0.728], [0.667, 0.333, 0.272], [0.000, 0.000, 0.500]],
  "n_ef_per_ev_cell": 3.1,
  "formation_enthalpy_0k_ev_per_atom": -0.5629,
  "e_tot_ev_per_atom": -3.528
}

=====

Record 24
{
  "formula": "BaCdBiO4",
  "functional": "PBE",
  "state": "optimized geometry",
  "cell": [[7.216, 0.000, 0.000], [-3.608, 6.157, -0.455], [0.000, -3.728, 6.131]],
  "species": ["O", "O", "O", "O", "O", "O", "O", "O", "Bi", "Bi", "Ba", "Ba", "Cd", "Cd"],
  "fractional_positions": [[0.697, 0.993, 0.746], [0.278, 0.556, 0.741], [0.303, 0.007, 0.254], [0.722, 0.444, 0.685], [0.296, 0.993, 0.746], [0.278, 0.556, 0.315], [0.704, 0.007, 0.254], [0.722, 0.444, 0.259], [0.500, 0.000, 0.000], [0.500, 0.000, 0.500], [0.865, 0.730, 0.115], [0.135, 0.270, 0.885], [0.500, 0.500, 0.500], [0.000, 0.500, 0.500]],
  "n_ef_per_ev_cell": 2.3,
  "raw_formation_energy_ev_per_atom": -1.497,
  "e_tot_ev_per_atom": -5.290
}

=====

Record 25
{
  "formula": "DyGa2Tc2P",
  "functional": "PBE",
  "state": "optimized geometry",
  "cell": [[4.441, 0.000, 0.000], [0.000, 4.441, 0.000], [0.000, 0.000, 5.547]],
  "species": ["P", "Ga", "Ga", "Tc", "Tc", "Dy"],
  "fractional_positions": [[0.000, 0.000, 0.000], [0.500, 0.500, 0.274], [0.500, 0.500, 0.726], [0.500, 0.000, 0.000], [0.000, 0.500, 0.000], [0.000, 0.000, 0.500]],
  "n_ef_per_ev_cell": 1.7,
  "formation_enthalpy_0k_ev_per_atom": -0.4451,
  "e_tot_ev_per_atom": -6.578
}

=====

Record 26
{
  "formula": "Ca2H12PdRh3",
  "functional": "PBE",
  "state": "optimized geometry",
  "cell": [[6.113, 0.025, 0.018], [3.041, 5.304, 0.018], [3.041, 1.770, 5.000]],
  "species": ["H", "H", "H", "H", "H", "H", "H", "H", "H", "H", "H", "H", "Ca", "Ca", "Pd", "Rh", "Rh", "Rh"],
  "fractional_positions": [[0.908, 0.345, 0.345], [0.903, 0.355, 0.903], [0.345, 0.908, 0.345], [0.645, 0.097, 0.097], [0.655, 0.092, 0.655], [0.355, 0.903, 0.903], [0.903, 0.903, 0.355], [0.655, 0.655, 0.092], [0.097, 0.097, 0.645], [0.092, 0.655, 0.655], [0.097, 0.645, 0.097], [0.345, 0.345, 0.908], [0.374, 0.374, 0.374], [0.626, 0.626, 0.626], [0.000, 0.000, 0.000], [0.500, 0.000, 0.000], [0.000, 0.500, 0.000], [0.000, 0.000, 0.500]],
  "n_ef_per_ev_cell": 3.3,
  "e_tot_ev_per_atom": -4.260
}